This record from Alexandria describes a geometry-optimized Ac3MoO7 structure. The functional is GGA+U.

Results
**E_tot**: -7.822 eV per atom

Cell and atoms, written as POSCAR:
```
Ac3MoO7
1.0
-6.445 1.482 2.148
-0.200 -5.148 -4.670
0.734 -5.419 5.941
Ac Mo O
6 2 14
Direct
0.500 0.500 0.500
0.500 0.500 0.000
0.533 0.999 0.250
0.467 0.001 0.750
0.999 0.533 0.750
0.001 0.467 0.250
0.000 0.000 0.500
0.000 0.000 0.000
0.697 0.932 0.526
0.303 0.068 0.026
0.932 0.697 0.474
0.068 0.303 0.974
0.068 0.304 0.526
0.932 0.696 0.026
0.304 0.068 0.474
0.696 0.932 0.974
0.371 0.629 0.250
0.629 0.371 0.750
0.632 0.368 0.250
0.368 0.632 0.750
0.945 0.055 0.250
0.055 0.945 0.750
```